1.
# BeGePd2

Crystalline BeGePd2 at its relaxed geometry (PBE-GGA, the Open Quantum Materials Database).

Cell: 4.3129 4.3129 4.3129 Å, 60.00 60.00 60.00°
Sites, in units of the cell vectors:
Be (0.2500, 0.2500, 0.2500)
Ge (0.5000, 0.5000, 0.5000)
Pd (0.0000, 0.0000, 0.0000)
Pd (0.7500, 0.7500, 0.7500)

Calculated values
**Symmetry**: No. 216

***

2.
# PrNiPt

Crystalline PrNiPt at its relaxed geometry (PBE-GGA, the Open Quantum Materials Database).

Cell: 4.4685 4.4685 4.4685 Å, 60.00 60.00 60.00°
Sites, in units of the cell vectors:
Ni (0.0000, 0.0000, 0.0000)
Pr (0.2500, 0.2500, 0.2500)
Pt (0.7500, 0.7500, 0.7500)

Calculated values
**Symmetry**: No. 216
**Spin magnetization**: 0.0 Bohr magnetons per cell
**DFT formation energy**: -464 meV per atom

***

3.
# Cs2AgAuSe4

Crystalline Cs2AgAuSe4 at its relaxed geometry (PBE-GGA, the Open Quantum Materials Database).

Cell: 7.5274 7.7990 7.7990 Å, 48.24 90.00 90.00°
Sites, in units of the cell vectors:
Ag (0.0000, 0.5032, 0.5032)
Au (0.5000, 0.4977, 0.4977)
Cs (0.5000, 0.1627, 0.1627)
Cs (0.0000, 0.8347, 0.8347)
Se (0.2475, 0.3837, 0.3837)
Se (0.7525, 0.3837, 0.3837)
Se (0.2554, 0.6172, 0.6172)
Se (0.7446, 0.6172, 0.6172)

Calculated values
**Symmetry**: No. 38

***

4.
# Cs2AlNiCl6

Crystalline Cs2AlNiCl6 at its relaxed geometry (PBE-GGA, the Open Quantum Materials Database).

Cell: 7.0317 7.0317 7.0317 Å, 60.00 60.00 60.00°
Sites, in units of the cell vectors:
Al (0.0000, 0.0000, 0.0000)
Cl (0.7588, 0.2412, 0.2412)
Cl (0.2412, 0.7588, 0.2412)
Cl (0.7588, 0.7588, 0.2412)
Cl (0.2412, 0.2412, 0.7588)
Cl (0.7588, 0.2412, 0.7588)
Cl (0.2412, 0.7588, 0.7588)
Cs (0.2500, 0.2500, 0.2500)
Cs (0.7500, 0.7500, 0.7500)
Ni (0.5000, 0.5000, 0.5000)

Calculated values
**Symmetry**: No. 225
**Spin magnetization**: 1.0 Bohr magnetons per cell

***

5.
# YErAu4

Crystalline YErAu4 at its relaxed geometry (PBE-GGA, the Open Quantum Materials Database).

Cell: 3.7201 3.7201 9.0432 Å, 90.00 90.00 90.00°
Sites, in units of the cell vectors:
Au (0.5000, 0.5000, 0.1673)
Au (0.0000, 0.0000, 0.3373)
Au (0.0000, 0.0000, 0.6627)
Au (0.5000, 0.5000, 0.8327)
Er (0.5000, 0.5000, 0.5000)
Y (0.0000, 0.0000, 0.0000)

Calculated values
**Symmetry**: No. 123
**Spin magnetization**: 0.0 Bohr magnetons per cell
**DFT formation energy**: -874 meV per atom

***

6.
# Lu4CuAsN2

Crystalline Lu4CuAsN2 at its relaxed geometry (PBE-GGA, the Open Quantum Materials Database).

Cell: 3.4423 3.4423 13.4726 Å, 90.00 90.00 120.00°
Sites, in units of the cell vectors:
As (0.0000, 0.0000, 0.0000)
Cu (0.6667, 0.3333, 0.5000)
Lu (0.6667, 0.3333, 0.1535)
Lu (0.0000, 0.0000, 0.3509)
Lu (0.0000, 0.0000, 0.6491)
Lu (0.6667, 0.3333, 0.8465)
N (0.3333, 0.6667, 0.2423)
N (0.3333, 0.6667, 0.7577)

Calculated values
**Symmetry**: No. 187
**Spin magnetization**: 0.0 Bohr magnetons per cell

***

7.
# KPrInSe3

Crystalline KPrInSe3 at its relaxed geometry (PBE-GGA, the Open Quantum Materials Database).

Cell: 7.6900 7.6900 11.4717 Å, 90.00 90.00 143.57°
Sites, in units of the cell vectors:
In (0.5116, 0.4884, 0.2500)
In (0.4884, 0.5116, 0.7500)
K (0.2488, 0.7512, 0.2500)
K (0.7512, 0.2488, 0.7500)
Pr (0.0000, 0.0000, 0.0000)
Pr (0.0000, 0.0000, 0.5000)
Se (0.6250, 0.3750, 0.0629)
Se (0.9261, 0.0739, 0.2500)
Se (0.6250, 0.3750, 0.4371)
Se (0.3750, 0.6250, 0.5629)
Se (0.0739, 0.9261, 0.7500)
Se (0.3750, 0.6250, 0.9371)

Calculated values
**Symmetry**: No. 63
**Spin magnetization**: 0.0 Bohr magnetons per cell

***

8.
# H18PdC10S6

Crystalline H18PdC10S6 at its relaxed geometry (PBE-GGA, the Open Quantum Materials Database).

Cell: 5.8579 14.0843 10.5297 Å, 90.00 103.88 90.00°
Sites, in units of the cell vectors:
C (0.6817, 0.1839, 0.0229)
C (0.1473, 0.8742, 0.0346)
C (0.5271, 0.7823, 0.0854)
C (0.8007, 0.2677, 0.1044)
C (0.2742, 0.5642, 0.2435)
C (0.7258, 0.0642, 0.2565)
C (0.1993, 0.7677, 0.3956)
C (0.4729, 0.2823, 0.4146)
C (0.8527, 0.3742, 0.4654)
C (0.3183, 0.6839, 0.4771)
C (0.6817, 0.3161, 0.5229)
C (0.1473, 0.6258, 0.5346)
C (0.5271, 0.7177, 0.5854)
C (0.8007, 0.2323, 0.6044)
C (0.2742, 0.9358, 0.7435)
C (0.7258, 0.4358, 0.7565)
C (0.1993, 0.7323, 0.8956)
C (0.4729, 0.2177, 0.9146)
C (0.8527, 0.1258, 0.9654)
C (0.3183, 0.8161, 0.9771)
H (0.8724, 0.3158, 0.0408)
H (0.9977, 0.0968, 0.0417)
H (0.6550, 0.7422, 0.0454)
H (0.2368, 0.9330, 0.0952)
H (0.0710, 0.8273, 0.0973)
H (0.6173, 0.8420, 0.1439)
H (0.6754, 0.3087, 0.1452)
H (0.4616, 0.7348, 0.1515)
H (0.9477, 0.2450, 0.1843)
H (0.0523, 0.7450, 0.3157)
H (0.5384, 0.2348, 0.3485)
H (0.3246, 0.8087, 0.3548)
H (0.3827, 0.3420, 0.3561)
H (0.9290, 0.3273, 0.4027)
H (0.7632, 0.4330, 0.4048)
H (0.3450, 0.2422, 0.4546)
H (0.0023, 0.5968, 0.4583)
H (0.1276, 0.8158, 0.4592)
H (0.8724, 0.1842, 0.5408)
H (0.9977, 0.4032, 0.5417)
H (0.6550, 0.7578, 0.5454)
H (0.2368, 0.5670, 0.5952)
H (0.0710, 0.6727, 0.5973)
H (0.6173, 0.6580, 0.6439)
H (0.6754, 0.1913, 0.6452)
H (0.4616, 0.7652, 0.6515)
H (0.9477, 0.2550, 0.6843)
H (0.0523, 0.7550, 0.8157)
H (0.5384, 0.2652, 0.8485)
H (0.3246, 0.6913, 0.8548)
H (0.3827, 0.1580, 0.8561)
H (0.9290, 0.1727, 0.9027)
H (0.7632, 0.0670, 0.9048)
H (0.3450, 0.2578, 0.9546)
H (0.0023, 0.9032, 0.9583)
H (0.1276, 0.6842, 0.9592)
Pd (0.0000, 0.5000, 0.0000)
Pd (0.0000, 0.0000, 0.5000)
S (0.5297, 0.1067, 0.1213)
S (0.3828, 0.4978, 0.1349)
S (0.9780, 0.5786, 0.1930)
S (0.0220, 0.0786, 0.3070)
S (0.6172, 0.9978, 0.3651)
S (0.4703, 0.6067, 0.3787)
S (0.5297, 0.3933, 0.6213)
S (0.3828, 0.0022, 0.6349)
S (0.9780, 0.9214, 0.6930)
S (0.0220, 0.4214, 0.8070)
S (0.6172, 0.5022, 0.8651)
S (0.4703, 0.8933, 0.8787)

Calculated values
**Symmetry**: No. 14

***

9.
# KLaPrNi2

Crystalline KLaPrNi2 at its relaxed geometry (PBE-GGA, the Open Quantum Materials Database).

Cell: 3.8627 9.5662 9.5662 Å, 24.70 90.00 90.00°
Sites, in units of the cell vectors:
K (0.0000, 0.0010, 0.0010)
La (0.5000, 0.3326, 0.3326)
Ni (0.0000, 0.2118, 0.2118)
Ni (0.0000, 0.7889, 0.7889)
Pr (0.5000, 0.6657, 0.6657)

Calculated values
**Symmetry**: No. 38
**Spin magnetization**: 0.0 Bohr magnetons per cell

***

10.
# AcErNO

Crystalline AcErNO at its relaxed geometry (PBE-GGA, the Open Quantum Materials Database).

Cell: 4.0639 5.5408 7.0870 Å, 90.00 90.00 90.00°
Sites, in units of the cell vectors:
Ac (0.5000, 0.9587, 0.1665)
Ac (0.5000, 0.4587, 0.8335)
Er (0.0000, 0.4757, 0.3367)
Er (0.0000, 0.9757, 0.6633)
N (0.0000, 0.8790, 0.3632)
N (0.0000, 0.3790, 0.6368)
O (0.5000, 0.4406, 0.2115)
O (0.5000, 0.9406, 0.7885)

Calculated values
**Symmetry**: No. 26
**Spin magnetization**: 1.8 Bohr magnetons per cell
**Excess energy over the best structure of this formula in the dataset**: 17 meV/atom

***

11.
# HfCdMo2

Crystalline HfCdMo2 at its relaxed geometry (PBE-GGA, the Open Quantum Materials Database).

Cell: 4.6637 4.6637 4.6637 Å, 60.00 60.00 60.00°
Sites, in units of the cell vectors:
Cd (0.7500, 0.7500, 0.7500)
Hf (0.5000, 0.5000, 0.5000)
Mo (0.0000, 0.0000, 0.0000)
Mo (0.2500, 0.2500, 0.2500)

Calculated values
**Symmetry**: No. 216
**Spin magnetization**: 0.0 Bohr magnetons per cell
**DFT formation energy**: 221 meV per atom

***

12.
# BaAlGa2Cu2

Crystalline BaAlGa2Cu2 at its relaxed geometry (PBE-GGA, the Open Quantum Materials Database).

Cell: 6.7757 6.7757 5.2094 Å, 90.00 90.00 74.59°
Sites, in units of the cell vectors:
Al (0.4291, 0.5709, 0.2500)
Al (0.5709, 0.4291, 0.7500)
Ba (0.8465, 0.1535, 0.2500)
Ba (0.1535, 0.8465, 0.7500)
Cu (0.2992, 0.2992, 0.0000)
Cu (0.7008, 0.7008, 0.0000)
Cu (0.2992, 0.2992, 0.5000)
Cu (0.7008, 0.7008, 0.5000)
Ga (0.0302, 0.5803, 0.2500)
Ga (0.4197, 0.9698, 0.2500)
Ga (0.5803, 0.0302, 0.7500)
Ga (0.9698, 0.4197, 0.7500)

Calculated values
**Symmetry**: No. 63

***

13.
# NaLuTe3Pd

Crystalline NaLuTe3Pd at its relaxed geometry (PBE-GGA, the Open Quantum Materials Database).

Cell: 8.6488 4.1857 10.3422 Å, 90.00 110.53 90.00°
Sites, in units of the cell vectors:
Lu (0.1883, 0.7500, 0.1564)
Lu (0.8117, 0.2500, 0.8436)
Na (0.7383, 0.7500, 0.2703)
Na (0.2617, 0.2500, 0.7297)
Pd (0.4039, 0.2500, 0.4003)
Pd (0.5961, 0.7500, 0.5997)
Te (0.4354, 0.2500, 0.1495)
Te (0.9325, 0.2500, 0.1525)
Te (0.2625, 0.7500, 0.4727)
Te (0.7375, 0.2500, 0.5273)
Te (0.0675, 0.7500, 0.8475)
Te (0.5646, 0.7500, 0.8505)

Calculated values
**Symmetry**: No. 11
**Spin magnetization**: 0.0 Bohr magnetons per cell

***

14.
# Na2ZnFeAs2

Crystalline Na2ZnFeAs2 at its relaxed geometry (PBE-GGA, the Open Quantum Materials Database).

Cell: 4.0481 4.0481 7.1120 Å, 90.00 90.00 90.00°
Sites, in units of the cell vectors:
As (0.5000, 0.0000, 0.2155)
As (0.0000, 0.5000, 0.7845)
Fe (0.0000, 0.0000, 0.0000)
Na (0.0000, 0.5000, 0.3515)
Na (0.5000, 0.0000, 0.6485)
Zn (0.5000, 0.5000, 0.0000)

Calculated values
**Symmetry**: No. 115
**Spin magnetization**: 3.3 Bohr magnetons per cell

***

no.,VASP energy (eV/atom)
1,-4.78
2,-5.93
3,-3.27
4,-3.58
5,-4.89
6,-6.52
7,-4.35
8,-5.33
9,-4.51
10,-7.52
11,-7.92
12,-3.51
13,-4.25
14,-3.86